No. 1
# BaAs2Pt, optimized geometry, DFT PBEsol
data_BaAs2Pt
_chemical_formula_sum 'Ba1 As2 Pt1'
_cell_length_a 3.7894
_cell_length_b 3.7894
_cell_length_c 7.2531
_cell_angle_alpha 90.00
_cell_angle_beta 90.00
_cell_angle_gamma 112.57
_symmetry_space_group_name_H-M 'P 1'
_symmetry_Int_Tables_number 1
_symmetry_space_group_name_Hall 'P 1'
loop_
_atom_site_label
_atom_site_type_symbol
_atom_site_fract_x
_atom_site_fract_y
_atom_site_fract_z
_atom_site_occupancy
Pt1 Pt 0.5000 0.5000 0.0000 1
Ba1 Ba 0.5000 0.5000 0.5000 1
As1 As 0.0000 0.0000 0.8149 1
As2 As 0.0000 0.0000 0.1851 1
# Space-group type: No. 65
# Theoretical density, g cm⁻³: 8.33
# Energy of formation, eV per atom: -0.31

***

No. 2
# Sr3HgH, optimized geometry, DFT PBEsol
data_Sr3HgH
_chemical_formula_sum 'Sr3 Hg1 H1'
_cell_length_a 5.2412
_cell_length_b 5.2412
_cell_length_c 5.2412
_cell_angle_alpha 90.00
_cell_angle_beta 90.00
_cell_angle_gamma 90.00
_symmetry_space_group_name_H-M 'P 1'
_symmetry_Int_Tables_number 1
_symmetry_space_group_name_Hall 'P 1'
loop_
_atom_site_label
_atom_site_type_symbol
_atom_site_fract_x
_atom_site_fract_y
_atom_site_fract_z
_atom_site_occupancy
Sr1 Sr 0.0000 0.0000 0.5000 1
Sr2 Sr 0.0000 0.5000 0.0000 1
Sr3 Sr 0.5000 0.0000 0.0000 1
Hg1 Hg 0.5000 0.5000 0.5000 1
H1 H 0.0000 0.0000 0.0000 1
# Space-group type: No. 221
# Theoretical density, g cm⁻³: 5.36
# DFT total energy, eV/atom: -2.163

***

No. 3
# Ag5W, optimized geometry, DFT PBEsol
data_Ag5W
_chemical_formula_sum 'Ag5 W1'
_cell_length_a 2.7161
_cell_length_b 4.7052
_cell_length_c 7.7629
_cell_angle_alpha 90.00
_cell_angle_beta 100.08
_cell_angle_gamma 90.00
_symmetry_space_group_name_H-M 'P 1'
_symmetry_Int_Tables_number 1
_symmetry_space_group_name_Hall 'P 1'
loop_
_atom_site_label
_atom_site_type_symbol
_atom_site_fract_x
_atom_site_fract_y
_atom_site_fract_z
_atom_site_occupancy
Ag1 Ag 0.3370 0.0000 0.6740 1
Ag2 Ag 0.4427 0.5000 0.8854 1
Ag3 Ag 0.0035 0.0000 0.0071 1
Ag4 Ag 0.7738 0.5000 0.5476 1
Ag5 Ag 0.6682 0.0000 0.3363 1
W1 W 0.1081 0.5000 0.2162 1
# Space-group type: No. 38
# Theoretical density, g cm⁻³: 12.29
# Energy of formation, eV per atom: 0.39

***

No. 4
# LaY, optimized geometry, DFT PBEsol
data_LaY
_chemical_formula_sum 'La2 Y2'
_cell_length_a 3.4701
_cell_length_b 5.6392
_cell_length_c 6.8752
_cell_angle_alpha 90.00
_cell_angle_beta 104.62
_cell_angle_gamma 90.00
_symmetry_space_group_name_H-M 'P 1'
_symmetry_Int_Tables_number 1
_symmetry_space_group_name_Hall 'P 1'
loop_
_atom_site_label
_atom_site_type_symbol
_atom_site_fract_x
_atom_site_fract_y
_atom_site_fract_z
_atom_site_occupancy
La1 La 0.5581 0.7500 0.1163 1
La2 La 0.4419 0.2500 0.8837 1
Y1 Y 0.8135 0.7500 0.6271 1
Y2 Y 0.1865 0.2500 0.3729 1
# Space-group type: No. 63
# Theoretical density, g cm⁻³: 5.81
# Energy of formation, eV per atom: 0.06
# Relative energy among the computed polymorphs, meV per atom: 64

***

No. 5
# Sr3FeBi, optimized geometry, DFT PBEsol
data_Sr3FeBi
_chemical_formula_sum 'Sr3 Fe1 Bi1'
_cell_length_a 6.2595
_cell_length_b 6.2595
_cell_length_c 6.2595
_cell_angle_alpha 90.00
_cell_angle_beta 90.00
_cell_angle_gamma 90.00
_symmetry_space_group_name_H-M 'P 1'
_symmetry_Int_Tables_number 1
_symmetry_space_group_name_Hall 'P 1'
loop_
_atom_site_label
_atom_site_type_symbol
_atom_site_fract_x
_atom_site_fract_y
_atom_site_fract_z
_atom_site_occupancy
Sr1 Sr 0.0000 0.5000 0.0000 1
Sr2 Sr 0.5000 0.0000 0.0000 1
Sr3 Sr 0.0000 0.0000 0.5000 1
Bi1 Bi 0.0000 0.0000 0.0000 1
Fe1 Fe 0.5000 0.5000 0.5000 1
# Space-group type: No. 221
# Theoretical density, g cm⁻³: 3.57
# Energy of formation, eV per atom: 0.52

***

No. 6
# MgInTc, optimized geometry, DFT PBEsol
data_MgInTc
_chemical_formula_sum 'Mg1 In1 Tc1'
_cell_length_a 4.4530
_cell_length_b 4.4530
_cell_length_c 4.4530
_cell_angle_alpha 60.00
_cell_angle_beta 60.00
_cell_angle_gamma 60.00
_symmetry_space_group_name_H-M 'P 1'
_symmetry_Int_Tables_number 1
_symmetry_space_group_name_Hall 'P 1'
loop_
_atom_site_label
_atom_site_type_symbol
_atom_site_fract_x
_atom_site_fract_y
_atom_site_fract_z
_atom_site_occupancy
Tc1 Tc 0.5000 0.5000 0.5000 1
Mg1 Mg 0.0000 0.0000 0.0000 1
In1 In 0.2500 0.2500 0.2500 1
# Space-group type: No. 216
# Theoretical density, g cm⁻³: 6.31
# Energy of formation, eV per atom: 0.78
# Relative energy among the computed polymorphs, meV per atom: 0